# TaNb6In

An optimized crystal structure of TaNb6In (GGA-PBE, Alexandria via LeMat-Bulk).

Summary:
Magnetization in μB/f.u.: 0.0
ΔE_f in eV/atom: 0.2098
E above lowest polymorph in meV per atom: 244
Electronic total energy in eV per cell: -73.33
Crystal system: orthorhombic
Calculated volume in Å³ per cell: 152.7
DOS(E_F) in states/eV/cell: 6.94

Geometry as CIF:
```
data_TaNb6In
_cell_length_a 2.724
_cell_length_b 5.022
_cell_length_c 11.163
_cell_angle_alpha 90.00
_cell_angle_beta 90.00
_cell_angle_gamma 90.00
_symmetry_space_group_name_H-M 'P m m m'
_symmetry_Int_Tables_number 47
loop_
_symmetry_equiv_pos_as_xyz
'x,y,z'
'-x,-y,-z'
'-x,-y,z'
'x,y,-z'
'x,-y,-z'
'-x,y,z'
'-x,y,-z'
'x,-y,z'
loop_
_atom_site_label
_atom_site_fract_x
_atom_site_fract_y
_atom_site_fract_z
Ta1 0.000 0.000 0.000
Nb1 0.000 0.500 0.364
Nb2 0.500 0.000 0.252
Nb3 0.500 0.500 0.123
In1 0.000 0.000 0.500
```